Entry 1:
AgPt2Au (GGA-PBEsol, relaxed); DFT formation energy = 6.3 kJ/mol of formula units; offset from the most stable computed form = 0.09 eV per formula unit; space-group type = P2/m
1.0
2.747 0.000 0.000
0.000 4.812 0.000
-0.052 0.000 4.797
Ag Pt Au
1 2 1
Direct
0.000 0.000 0.000
0.252 0.500 0.750
0.748 0.500 0.250
0.500 0.000 0.500

=====

Entry 2:
TaSiNi (GGA-PBEsol, relaxed); space-group type = Imm2; uncorrected formation energy = -0.691 eV/atom
1.0
3.753 0.000 0.000
0.000 6.249 0.000
0.000 0.000 6.752
Ta Si Ni
4 4 4
Direct
0.000 0.000 0.000
0.000 0.500 0.096
0.500 0.000 0.596
0.500 0.500 0.500
0.000 0.215 0.390
0.000 0.785 0.390
0.500 0.285 0.890
0.500 0.715 0.890
0.000 0.305 0.716
0.000 0.695 0.716
0.500 0.195 0.216
0.500 0.805 0.216

=====

Entry 3:
MnNi6Sb (GGA-PBEsol, relaxed); space-group type = Cmmm; uncorrected formation energy = -0.118 eV/atom
1.0
3.589 -5.078 0.000
3.589 5.078 0.000
0.000 0.000 10.180
Mn Ni Sb
4 24 4
Direct
0.000 0.000 0.243
0.000 0.000 0.757
0.249 0.751 0.000
0.751 0.249 0.000
0.000 0.000 0.000
0.000 0.000 0.500
0.117 0.372 0.121
0.117 0.372 0.879
0.122 0.367 0.370
0.122 0.367 0.630
0.246 0.754 0.243
0.246 0.754 0.757
0.367 0.122 0.370
0.367 0.122 0.630
0.372 0.117 0.121
0.372 0.117 0.879
0.500 0.500 0.000
0.500 0.500 0.500
0.628 0.883 0.121
0.628 0.883 0.879
0.633 0.878 0.370
0.633 0.878 0.630
0.754 0.246 0.243
0.754 0.246 0.757
0.878 0.633 0.370
0.878 0.633 0.630
0.883 0.628 0.121
0.883 0.628 0.879
0.250 0.750 0.500
0.500 0.500 0.244
0.500 0.500 0.756
0.750 0.250 0.500

=====

Entry 4:
CoRhSe2 (GGA-PBEsol, relaxed); space-group type = R-3m; uncorrected formation energy = -0.004 eV/atom
1.0
3.207 0.000 0.000
-1.603 2.777 0.000
0.000 0.000 22.284
Co Rh Se
3 3 6
Direct
0.000 0.000 0.000
0.333 0.667 0.667
0.667 0.333 0.333
0.000 0.000 0.500
0.333 0.667 0.167
0.667 0.333 0.833
0.000 0.000 0.395
0.000 0.000 0.605
0.333 0.667 0.062
0.333 0.667 0.271
0.667 0.333 0.729
0.667 0.333 0.938

=====

Entry 5:
CrSiP2 (GGA-PBEsol, relaxed); space-group type = P4/mmm; uncorrected formation energy = -0.054 eV/atom
1.0
2.827 0.000 0.000
0.000 2.827 0.000
0.000 0.000 6.304
Cr Si P
1 1 2
Direct
0.000 0.000 0.000
0.000 0.000 0.500
0.500 0.500 0.210
0.500 0.500 0.790

=====

Entry 6:
Sr2CoSe3O9 (GGA-PBEsol, relaxed); space-group type = P-1; uncorrected formation energy = -1.515 eV/atom
1.0
7.239 0.000 0.000
-0.755 7.541 0.000
-2.272 -2.192 8.096
Sr Co Se O
4 2 6 18
Direct
0.124 0.485 0.306
0.257 0.915 0.108
0.743 0.085 0.892
0.876 0.515 0.694
0.400 0.663 0.742
0.600 0.337 0.258
0.132 0.924 0.703
0.273 0.365 0.913
0.401 0.207 0.543
0.599 0.793 0.457
0.727 0.635 0.087
0.868 0.076 0.297
0.016 0.126 0.182
0.029 0.290 0.849
0.139 0.702 0.597
0.270 0.596 0.907
0.327 0.420 0.572
0.331 0.370 0.119
0.355 0.962 0.850
0.372 0.752 0.326
0.442 0.184 0.353
0.558 0.816 0.647
0.628 0.248 0.674
0.645 0.038 0.150
0.669 0.630 0.881
0.673 0.580 0.428
0.730 0.404 0.093
0.861 0.298 0.403
0.971 0.710 0.151
0.984 0.874 0.818

=====

Entry 7:
Zr3CoH (GGA-PBEsol, relaxed); E = -7.684 eV/atom; space-group type = Pm-3m
1.0
4.260 0.000 0.000
0.000 4.260 0.000
0.000 0.000 4.260
Zr Co H
3 1 1
Direct
0.000 0.000 0.500
0.000 0.500 0.000
0.500 0.000 0.000
0.500 0.500 0.500
0.000 0.000 0.000

=====

Entry 8:
BaFeP2 (GGA-PBEsol, relaxed); DFT formation energy = -10.3 kJ/mol of formula units; offset from the most stable computed form = 2.41 eV per formula unit; space-group type = P4mm
1.0
3.195 0.000 0.000
0.000 3.195 0.000
0.000 0.000 7.089
Ba Fe P
1 1 2
Direct
0.000 0.000 0.000
0.500 0.500 0.377
0.000 0.000 0.466
0.500 0.500 0.683

=====

Repeat the sixth record exactly.
Sr2CoSe3O9 (GGA-PBEsol, relaxed); space-group type = P-1; uncorrected formation energy = -1.515 eV/atom
1.0
7.239 0.000 0.000
-0.755 7.541 0.000
-2.272 -2.192 8.096
Sr Co Se O
4 2 6 18
Direct
0.124 0.485 0.306
0.257 0.915 0.108
0.743 0.085 0.892
0.876 0.515 0.694
0.400 0.663 0.742
0.600 0.337 0.258
0.132 0.924 0.703
0.273 0.365 0.913
0.401 0.207 0.543
0.599 0.793 0.457
0.727 0.635 0.087
0.868 0.076 0.297
0.016 0.126 0.182
0.029 0.290 0.849
0.139 0.702 0.597
0.270 0.596 0.907
0.327 0.420 0.572
0.331 0.370 0.119
0.355 0.962 0.850
0.372 0.752 0.326
0.442 0.184 0.353
0.558 0.816 0.647
0.628 0.248 0.674
0.645 0.038 0.150
0.669 0.630 0.881
0.673 0.580 0.428
0.730 0.404 0.093
0.861 0.298 0.403
0.971 0.710 0.151
0.984 0.874 0.818